## Ac7Pm3Dy (PBE)

Data for Ac7Pm3Dy after structural relaxation.

Unit cell a=8.2993 b=8.2993 c=6.9215 alpha=94.90 beta=94.90 gamma=84.53
Fractional positions:
Ac 0.0000 0.0000 0.0000
Ac 0.0804 0.4222 0.2604
Ac 0.2626 0.2626 0.7725
Ac 0.4222 0.0804 0.2604
Ac 0.5778 0.9196 0.7396
Ac 0.7374 0.7374 0.2275
Ac 0.9196 0.5778 0.7396
Pm 0.3369 0.6631 0.0000
Pm 0.5000 0.5000 0.5000
Pm 0.6631 0.3369 0.0000
Dy 0.0000 0.0000 0.5000

uncorrected energy: -4.058 eV/atom
calculated volume: 42.9 A^3/atom
ΔE_f: 0.27 eV/atom
spin magnetization: 0.00 μB per formula unit